Entry 1:
Here is an optimized crystal structure of InSi2HgSb from Alexandria. Energies are from PBE.

Properties
D(E_F)   2.3 states/eV/cell
Final energy   -13.1 eV for the cell shown
SG   P4/mmm (123)

Cell: 5.1684 5.3386 5.1684 Å, 90.00 90.00 90.00°
Positions (direct):
Sb 0.5000 0.5000 0.5000
Si 0.5000 0.0000 0.0000
Si 0.0000 0.0000 0.5000
In 0.0000 0.0000 0.0000
Hg 0.0000 0.5000 0.0000


Entry 2:
Here is an optimized crystal structure of InSnHgSb from Alexandria. Energies are from PBE.

Properties
D(E_F)   4.2 states/eV/cell
Final energy   -21.8 eV for the cell shown
SG   R-3m (166)

Cell: 4.1761 4.1761 15.8869 Å, 82.45 82.45 60.00°
Positions (direct):
In 0.8941 0.8941 0.3178
In 0.1059 0.1059 0.6822
Hg 0.8125 0.8125 0.5624
Hg 0.1875 0.1875 0.4376
Sb 0.3085 0.3085 0.0745
Sb 0.6915 0.6915 0.9255
Sn 0.3949 0.3949 0.8153
Sn 0.6051 0.6051 0.1847


Entry 3:
Here is an optimized crystal structure of InSnHgSb from Alexandria. Energies are from PBE.

Properties
D(E_F)   2.3 states/eV/cell
Final energy   -10.9 eV for the cell shown
SG   F-43m (216)

Cell: 5.3979 5.3979 5.3979 Å, 60.00 60.00 60.00°
Positions (direct):
Hg 0.5000 0.5000 0.5000
In 0.7500 0.7500 0.7500
Sn 0.2500 0.2500 0.2500
Sb 0.0000 0.0000 0.0000


Entry 4:
Here is an optimized crystal structure of Sr3In2Hg4Sb2 from Alexandria. Energies are from PBE.

Properties
D(E_F)   2.9 states/eV/cell
Final energy   -22.9 eV for the cell shown
SG   I4/mmm (139)

Cell: 5.4620 5.4620 13.9177 Å, 101.32 101.32 90.00°
Positions (direct):
Sb 0.3076 0.3076 0.6153
Sb 0.6924 0.6924 0.3847
Hg 0.9266 0.4266 0.8531
Hg 0.5734 0.0734 0.1469
Hg 0.4266 0.9266 0.8531
Hg 0.0734 0.5734 0.1469
Sr 0.0000 0.0000 0.0000
Sr 0.1867 0.1867 0.3734
Sr 0.8133 0.8133 0.6266
In 0.4133 0.4133 0.8266
In 0.5867 0.5867 0.1734


Entry 5:
Here is an optimized crystal structure of In2TcHgSb from Alexandria. Energies are from PBE.

Properties
D(E_F)   1.0 states/eV/cell
Final energy   -19.7 eV for the cell shown
SG   P4/mmm (123)

Cell: 5.3321 5.3321 5.0443 Å, 90.00 90.00 90.00°
Positions (direct):
Hg 0.5000 0.5000 0.5000
Sb 0.0000 0.0000 0.5000
In 0.5000 0.0000 0.0000
In 0.0000 0.5000 0.0000
Tc 0.0000 0.0000 0.0000


Entry 6:
Here is an optimized crystal structure of InHgSb2Te from Alexandria. Energies are from PBE.

Properties
D(E_F)   4.8 states/eV/cell
Final energy   -11.3 eV for the cell shown
SG   P4/mmm (123)

Cell: 5.7007 5.7007 5.7351 Å, 90.00 90.00 90.00°
Positions (direct):
Te 0.0000 0.0000 0.5000
Hg 0.5000 0.5000 0.5000
In 0.0000 0.0000 0.0000
Sb 0.0000 0.5000 0.0000
Sb 0.5000 0.0000 0.0000


Number 1: formation energy without anion corrections 972 meV per atom. Number 2: formation energy without anion corrections 68 meV per atom. Number 3: formation energy without anion corrections 78 meV per atom. Number 4: formation energy without anion corrections -264 meV per atom. Number 5: formation energy without anion corrections 110 meV per atom. Number 6: formation energy without anion corrections 620 meV per atom.